# 1
Density functional theory data (PBEsol) for a geometry-optimized YCd2Ag structure.

Calculated values
ΔE_f = -0.225 eV per atom
uncorrected energy = -3.36 eV per atom
D(E_F) = 2.58 states/eV/cell

abc: 3.4420 3.4420 7.1747
angles: 90.00 90.00 90.00
Space group P4/mmm (No. 123)
Asymmetric unit:
Y  0.0000  0.0000  0.0000
Cd  0.5000  0.5000  0.2847
Ag  0.0000  0.0000  0.5000

=====

# 2
Density functional theory data (PBEsol) for a geometry-optimized AuCS2Cl3 structure.

Calculated values
formation energy (no corrections) = -0.09 eV per atom
uncorrected energy = -4.14 eV per atom
D(E_F) = 0.00 states/eV/cell

abc: 15.2518 10.0152 10.8755
angles: 90.00 119.95 90.00
Space group C2/c (No. 15)
Asymmetric unit:
Au  0.1663  0.1217  0.0330
C  0.0224  0.2790  0.0473
S  0.0061  0.1615  0.5781
S  0.1472  0.2921  0.1629
Cl  0.0650  0.3736  0.4450
Cl  0.1578  0.0445  0.3811
Cl  0.1596  0.3922  0.8320

=====

# 3
Density functional theory data (PBEsol) for a geometry-optimized InAg2 structure.

Calculated values
ΔE_f = -0.047 eV per atom
uncorrected energy = -3.25 eV per atom
D(E_F) = 2.99 states/eV/cell

abc: 5.8794 4.2079 8.7947
angles: 90.00 90.00 90.00
Space group Pnma (No. 62)
Asymmetric unit:
In  0.1427  0.2500  0.0918
Ag  0.1135  0.2500  0.7547
Ag  0.1314  0.2500  0.4210

=====

# 4
Density functional theory data (PBEsol) for a geometry-optimized CaCoMo2 structure.

Calculated values
ΔE_f = 1.065 eV per atom
uncorrected energy = -7.29 eV per atom
D(E_F) = 5.33 states/eV/cell

abc: 4.7277 4.7277 2.7518
angles: 90.00 90.00 90.00
Space group P4/mmm (No. 123)
Asymmetric unit:
Ca  0.0000  0.0000  0.0000
Co  0.5000  0.5000  0.0000
Mo  0.0000  0.5000  0.5000

=====

# 5
Density functional theory data (PBEsol) for a geometry-optimized Li4MgIn structure.

Calculated values
ΔE_f = -0.110 eV per atom
uncorrected energy = -2.20 eV per atom
D(E_F) = 10.81 states/eV/cell

abc: 7.5207 7.5207 7.5207
angles: 90.00 90.00 90.00
Space group F-43m (No. 216)
Asymmetric unit:
Li  0.1242  0.1242  0.1242
Mg  0.0000  0.0000  0.5000
In  0.2500  0.2500  0.7500

=====

# 6
Density functional theory data (PBEsol) for a geometry-optimized MoCSe2N structure.

Calculated values
formation energy (no corrections) = 1.47 eV per atom
uncorrected energy = -6.06 eV per atom
D(E_F) = 2.63 states/eV/cell

abc: 4.9171 4.9171 3.7260
angles: 90.00 90.00 90.00
Space group P4/mmm (No. 123)
Asymmetric unit:
Mo  0.0000  0.0000  0.0000
C  0.5000  0.5000  0.5000
Se  0.0000  0.5000  0.0000
N  0.0000  0.0000  0.5000

=====

# 7
Density functional theory data (PBEsol) for a geometry-optimized CsBi3O structure.

Calculated values
formation energy (no corrections) = 1.90 eV per atom
uncorrected energy = -1.91 eV per atom
D(E_F) = 11.23 states/eV/cell

abc: 6.2738 6.2738 6.2738
angles: 90.00 90.00 90.00
Space group Pm-3m (No. 221)
Asymmetric unit:
Cs  0.0000  0.0000  0.0000
Bi  0.0000  0.0000  0.5000
O  0.5000  0.5000  0.5000

=====

# 8
Density functional theory data (PBEsol) for a geometry-optimized Cs3RbSi structure.

Calculated values
formation energy (no corrections) = 0.88 eV per atom
uncorrected energy = -1.04 eV per atom
D(E_F) = 3.06 states/eV/cell

abc: 8.1025 8.1025 8.1025
angles: 90.00 90.00 90.00
Space group Pm-3m (No. 221)
Asymmetric unit:
Cs  0.0000  0.0000  0.5000
Rb  0.0000  0.0000  0.0000
Si  0.5000  0.5000  0.5000